(1)
Compound: Y2ThTe3
Source: the Alexandria database
Functional: PBE
Structure: optimized geometry

```
Y2ThTe3
1.0
-1.902 1.149 -3.623
-3.043 -5.443 -0.129
-2.643 4.922 5.442
Th Te Y
1 3 2
Cartesian
-1.522 -2.722 -0.065 Th
-3.318 1.800 2.313 Te
0.000 0.000 0.000 Te
-4.270 -1.172 -0.623 Te
-5.003 -0.833 2.362 Y
-2.585 1.461 -0.673 Y
```

## Properties
* raw formation energy: -1192 meV per atom

(2)
Compound: In3HgBr
Source: the Alexandria database
Functional: PBE
Structure: optimized geometry

```
In3HgBr
1.0
6.007 0.000 0.000
0.000 6.007 0.000
0.000 0.000 6.007
In Br Hg
3 1 1
Cartesian
3.003 0.000 0.000 In
0.000 0.000 3.003 In
0.000 3.003 0.000 In
0.000 0.000 0.000 Br
3.003 3.003 3.003 Hg
```

## Properties
* raw formation energy: 217 meV per atom
* excess energy over the best structure of this formula in the dataset: 16.9 kJ per mole of atoms

(3)
Compound: Al3Ni2Rh
Source: the Alexandria database
Functional: PBE
Structure: optimized geometry

```
Al3Ni2Rh
1.0
-0.309 -0.476 2.886
1.264 -2.639 -0.300
7.852 3.596 1.436
Al Ni Rh
3 2 1
Cartesian
5.316 2.435 0.972 Al
0.000 0.000 0.000 Al
2.535 1.161 0.464 Al
7.060 1.458 2.496 Ni
1.746 -0.976 1.525 Ni
4.403 0.241 2.011 Rh
```

## Properties
* ΔH_f (0 K): -4.7 eV/f.u.

(4)
Compound: K2FeCl5
Source: the Alexandria database
Functional: PBE
Structure: optimized geometry

```
K2FeCl5
1.0
9.392 0.000 -2.500
0.000 9.281 0.000
-0.473 0.000 12.808
Cl K Fe
20 8 4
Cartesian
4.192 5.791 9.834 Cl
7.601 8.713 1.775 Cl
7.177 0.456 5.796 Cl
4.943 1.254 10.024 Cl
8.672 5.894 -0.967 Cl
-0.178 2.597 5.050 Cl
4.727 3.489 0.474 Cl
2.905 5.208 3.026 Cl
6.438 5.096 3.262 Cl
0.248 3.387 11.274 Cl
1.742 8.825 4.512 Cl
9.098 6.683 5.258 Cl
6.014 4.073 7.282 Cl
0.031 1.151 1.724 Cl
4.517 2.043 3.800 Cl
3.976 8.027 0.283 Cl
1.318 0.568 8.532 Cl
8.888 8.130 8.584 Cl
2.481 4.185 7.046 Cl
4.402 7.238 6.508 Cl
4.733 8.033 3.187 K
7.020 3.452 10.458 K
4.186 1.248 7.121 K
6.595 8.093 -1.401 K
1.899 5.828 -0.151 K
2.324 1.188 11.709 K
0.037 5.888 4.437 K
8.882 3.392 5.871 K
4.669 3.911 2.631 Fe
4.250 5.370 7.677 Fe
-0.027 0.730 3.881 Fe
8.946 8.551 6.427 Fe
```

## Properties
* raw formation energy: -1393 meV per atom
* excess energy over the best structure of this formula in the dataset: 0.0 kJ per mole of atoms

(5)
Compound: Ac6Si2I3Br
Source: the Alexandria database
Functional: PBE
Structure: optimized geometry

```
Ac6Si2I3Br
1.0
7.907 -0.006 0.000
-3.957 6.846 0.000
-1.318 -2.281 8.116
Ac Si I Br
6 2 3 1
Cartesian
2.571 4.451 1.638 Ac
-0.136 4.563 6.458 Ac
2.769 -0.005 1.657 Ac
-1.388 2.396 1.657 Ac
0.062 0.108 6.478 Ac
4.021 2.163 6.458 Ac
3.953 2.277 0.000 Si
-0.003 4.563 0.000 Si
5.293 -0.018 4.058 I
1.316 2.279 4.058 I
-2.661 4.576 4.058 I
0.000 0.000 0.000 Br
```

## Properties
* raw formation energy: -974 meV per atom

(6)
Compound: GaPbN2
Source: the Alexandria database
Functional: PBE
Structure: optimized geometry

```
GaPbN2
1.0
4.870 3.626 1.828
4.163 1.238 4.619
6.124 0.107 1.641
N Pb Ga
2 1 1
Cartesian
13.649 4.476 7.283 N
1.508 0.495 0.805 N
7.578 2.485 4.044 Pb
0.000 0.000 0.000 Ga
```

## Properties
* raw formation energy: 686 meV per atom
* excess energy over the best structure of this formula in the dataset: 37.6 kJ per mole of atoms

(7)
Compound: CdAs
Source: the Alexandria database
Functional: PBE
Structure: optimized geometry

```
CdAs
1.0
2.458 -4.258 0.000
2.458 4.258 0.000
0.000 0.000 8.785
As Cd
4 4
Cartesian
2.458 1.419 3.728 As
2.458 1.419 0.665 As
2.458 -1.419 5.057 As
2.458 -1.419 8.121 As
0.000 0.000 6.589 Cd
2.458 -1.419 2.196 Cd
2.458 1.419 6.589 Cd
0.000 0.000 2.196 Cd
```

## Properties
* ΔH_f (0 K): 0.7 eV/f.u.
* excess energy over the best structure of this formula in the dataset: 39.6 kJ per mole of atoms

(8)
Compound: BaRu2Pt
Source: the Alexandria database
Functional: PBE
Structure: optimized geometry

```
BaRu2Pt
1.0
4.334 -0.004 0.005
2.170 3.752 0.005
2.162 1.246 5.902
Pt Ba Ru
1 1 2
Cartesian
2.167 1.249 0.668 Pt
4.332 2.497 2.965 Ba
2.163 1.247 5.602 Ru
6.499 3.746 5.534 Ru
```

## Properties
* ΔH_f (0 K): 0.4 eV/f.u.
* excess energy over the best structure of this formula in the dataset: 0.0 kJ per mole of atoms

(9)
Compound: LiTm2Mg5
Source: the Alexandria database
Functional: PBE
Structure: optimized geometry

```
LiTm2Mg5
1.0
4.890 0.000 0.000
0.000 6.540 0.000
0.000 0.000 6.540
Mg Tm Li
5 2 1
Cartesian
0.000 1.795 1.795 Mg
0.000 4.745 4.745 Mg
2.445 0.000 0.000 Mg
0.000 4.745 1.795 Mg
0.000 1.795 4.745 Mg
2.445 3.270 0.000 Tm
2.445 0.000 3.270 Tm
0.000 0.000 0.000 Li
```

## Properties
* ΔH_f (0 K): 1.9 eV/f.u.
* excess energy over the best structure of this formula in the dataset: 26.9 kJ per mole of atoms

(10)
Compound: Zr2In2Pd
Source: the Alexandria database
Functional: PBE
Structure: optimized geometry

```
Zr2In2Pd
1.0
-4.412 0.372 -5.402
1.617 -6.559 -1.773
-3.281 -1.505 2.575
In Zr Pd
4 4 2
Cartesian
-0.188 -5.485 -3.444 In
-2.607 -0.701 -3.730 In
-2.738 -3.901 -5.768 In
-0.056 -2.285 -1.407 In
-3.223 -5.983 -3.784 Zr
-4.782 -2.640 -3.817 Zr
-1.292 -5.052 -0.782 Zr
-2.852 -1.709 -0.815 Zr
-1.397 -3.093 -3.587 Pd
0.000 0.000 0.000 Pd
```

## Properties
* ΔH_f (0 K): -1.5 eV/f.u.

(11)
Compound: CuNiH
Source: the Alexandria database
Functional: PBE
Structure: optimized geometry

```
CuNiH
1.0
3.387 0.000 0.000
1.693 2.933 0.000
1.693 0.978 2.765
H Ni Cu
1 1 1
Cartesian
1.693 0.978 0.691 H
3.387 1.955 1.383 Ni
0.000 0.000 0.000 Cu
```

## Properties
* excess energy over the best structure of this formula in the dataset: 40.6 kJ per mole of atoms

(12)
Compound: CaIn4Pb
Source: the Alexandria database
Functional: PBE
Structure: optimized geometry

```
CaIn4Pb
1.0
5.366 -0.002 0.001
0.002 6.337 2.297
-0.001 0.039 9.780
Pb In Ca
2 8 2
Cartesian
4.025 0.779 2.792 Pb
1.342 5.595 9.286 Pb
1.342 1.832 4.732 In
4.024 0.278 9.073 In
1.343 6.096 3.005 In
1.342 5.066 5.904 In
4.024 1.308 6.174 In
1.342 2.899 1.846 In
4.025 4.542 7.346 In
4.025 3.475 10.232 In
4.026 3.960 3.906 Ca
1.341 2.414 8.172 Ca
```

## Properties
* ΔH_f (0 K): -1.1 eV/f.u.
* excess energy over the best structure of this formula in the dataset: 0.0 kJ per mole of atoms